# 1
The following is a GGA-PBE calculation of crystalline Zr2OsPt at its relaxed geometry, from Alexandria.

Cell and atoms, written as POSCAR:
```
Zr2OsPt
1.0
-1.8137 2.1716 4.6503
1.8137 -2.1716 4.6503
1.8137 2.1716 -4.6503
Zr Os Pt
2 1 1
Cartesian
0.0000 0.0000 0.0000
0.0000 2.1716 2.2483
1.8137 0.0000 2.1183
0.0000 0.0000 4.5638
```

Fermi-level density of states (states/eV/atom): 0.7709
Electronic total energy (eV/atom): -9.107
Space-group type: Imm2
Formation energy (meV/atom): -516


# 2
The following is a GGA-PBE calculation of crystalline LiZnCr2 at its relaxed geometry, from Alexandria.

Cell and atoms, written as POSCAR:
```
LiZnCr2
1.0
1.5505 -1.8462 0.0000
1.5505 1.8462 0.0000
0.0000 0.0000 8.8388
Li Zn Cr
1 1 2
Cartesian
0.0000 0.0000 0.0000
0.0000 0.0000 4.4194
1.5505 0.0000 2.2827
1.5505 0.0000 6.5561
```

Fermi-level density of states (states/eV/atom): 0.6277
Electronic total energy (eV/atom): -5.220
Space-group type: Cmmm
Formation energy (meV/atom): 389